Material: Mg2CrW
Method: DFT, GGA-PBE
State: relaxed

The formation energy comes out at 0.435 eV/atom. The calculation puts the energy above the lowest structure with this stoichiometry at 0.1456 eV/atom. The electronic total energy is -6.01 eV per atom. The volume is 71 Å³/cell.

The space group is P4mm (No. 99) and the conventional cell measures 2.862, 2.862 and 8.710 Å, with angles of 90.00, 90.00 and 90.00 degrees. The inequivalent atoms are Mg at (0.000, 0.000, 0.000), Mg at (0.500, 0.500, 0.294), Cr at (0.500, 0.500, 0.755) and W at (0.000, 0.000, 0.546).

***

Material: MgCrW
Method: DFT, GGA-PBE
State: relaxed

The formation energy comes out at 1.080 eV/atom. The calculation puts the energy above the lowest structure with this stoichiometry at 0.6958 eV/atom. The electronic total energy is -6.98 eV per atom. The volume is 214 Å³/cell.

The space group is F-43m (No. 216) and the conventional cell measures 5.985, 5.985 and 5.985 Å, with angles of 90.00, 90.00 and 90.00 degrees. The inequivalent atoms are Mg at (0.000, 0.000, 0.000), Cr at (0.250, 0.250, 0.750) and W at (0.000, 0.000, 0.500).

***

Material: Mg2CrW
Method: DFT, GGA-PBE
State: relaxed

The formation energy comes out at 0.499 eV/atom. The calculation puts the energy above the lowest structure with this stoichiometry at 0.2102 eV/atom. The electronic total energy is -5.94 eV per atom. The volume is 131 Å³/cell.

The space group is Cm (No. 8) and the conventional cell measures 9.107, 2.687 and 5.361 Å, with angles of 90.00, 93.29 and 90.00 degrees. The inequivalent atoms are Mg at (0.000, 0.000, 0.000), Mg at (0.246, 0.000, 0.747), Cr at (0.245, 0.500, 0.278) and W at (0.499, 0.000, 0.473).